1.
Below is Li3CaPb at its PBEsol-relaxed geometry, with properties calculated at the SCAN level.

abc: 5.1190 5.1190 5.1190
angles: 90.00 90.00 90.00
Atoms (fractional coordinates):
Li 0.0000 0.0000 0.5000
Li 0.5000 0.0000 0.0000
Li 0.0000 0.5000 0.0000
Ca 0.5000 0.5000 0.5000
Pb 0.0000 0.0000 0.0000

Properties
* spin magnetization: 0.0 μB/f.u.
* ΔE_f: -179 meV/atom
* total DFT energy (no corrections): -18.702 eV per atom

***

2.
Below is CaZrFe at its PBEsol-relaxed geometry, with properties calculated at the SCAN level.

abc: 4.4959 4.4959 4.4959
angles: 60.00 60.00 60.00
Site moments in Bohr magnetons follow the coordinates.
Atoms (fractional coordinates):
Zr 0.7500 0.7500 0.7500  -1.10
Ca 0.0000 0.0000 0.0000  -0.20
Fe 0.5000 0.5000 0.5000  2.43

Properties
* relative energy among the computed polymorphs: 0.00 eV per formula unit
* spin magnetization: 0.4 μB/f.u.
* ΔE_f: 1165 meV/atom
* total DFT energy (no corrections): -18.333 eV per atom

***

3.
Below is PH3PbCO3 at its PBEsol-relaxed geometry, with properties calculated at the SCAN level.

abc: 6.8891 11.8031 11.8031
angles: 116.31 101.22 101.22
Atoms (fractional coordinates):
H 0.6292 0.6801 0.6477
H 0.0185 0.6477 0.9676
H 0.2753 0.7497 0.0014
H 0.4744 0.7483 0.7497
H 0.1247 0.8157 0.1087
H 0.3090 0.2930 0.1843
H 0.2739 0.9986 0.7483
H 0.9491 0.9676 0.3199
H 0.9815 0.3523 0.0324
H 0.9841 0.1087 0.2930
H 0.5256 0.2517 0.2503
H 0.3708 0.3199 0.3523
H 0.7261 0.0014 0.2517
H 0.0159 0.8913 0.7070
H 0.0509 0.0324 0.6801
H 0.7247 0.2503 0.9986
H 0.6910 0.7070 0.8157
H 0.8753 0.1843 0.8913
Pb 0.5785 0.8395 0.4814
Pb 0.0972 0.5186 0.3581
Pb 0.2610 0.3581 0.8395
Pb 0.7390 0.6419 0.1605
Pb 0.9028 0.4814 0.6419
Pb 0.4215 0.1605 0.5186
P 0.6065 0.4887 0.3398
P 0.8821 0.1489 0.4887
P 0.2667 0.6602 0.1489
P 0.1179 0.8511 0.5113
P 0.3935 0.5113 0.6602
P 0.7333 0.3398 0.8511
O 0.5348 0.2271 0.7388
O 0.2055 0.4812 0.5440
O 0.2040 0.7388 0.5117
O 0.7960 0.2612 0.4883
O 0.1061 0.2015 0.5840
O 0.4652 0.7729 0.2612
O 0.5221 0.4160 0.6175
O 0.7243 0.0629 0.5188
O 0.2757 0.9371 0.4812
O 0.3077 0.5117 0.7729
O 0.9046 0.3825 0.7985
O 0.6615 0.4560 0.9371
O 0.7945 0.5188 0.4560
O 0.8939 0.7985 0.4160
O 0.0954 0.6175 0.2015
O 0.4779 0.5840 0.3825
O 0.3385 0.5440 0.0629
O 0.6923 0.4883 0.2271
C 0.5642 0.6779 0.7254
C 0.8862 0.0475 0.3221
C 0.4358 0.3221 0.2746
C 0.8387 0.2746 0.9525
C 0.1138 0.9525 0.6779
C 0.1613 0.7254 0.0475

Properties
* spin magnetization: 0.0 μB/f.u.
* total DFT energy (no corrections): -15.151 eV per atom

***

4.
Below is TaSN2F at its PBEsol-relaxed geometry, with properties calculated at the SCAN level.

abc: 3.6461 3.8007 3.8007
angles: 90.00 90.00 90.00
Site moments in Bohr magnetons follow the coordinates.
Atoms (fractional coordinates):
N 0.0000 0.5000 0.0000  -0.03
N 0.0000 0.0000 0.5000  -0.03
S 0.0000 0.0000 0.0000  0.08
F 0.5000 0.0000 0.0000  0.07
Ta 0.5000 0.5000 0.5000  1.41

Properties
* relative energy among the computed polymorphs: 6.39 eV per formula unit
* spin magnetization: 1.9 μB/f.u.
* energy relative to the elements, uncorrected: 1175 meV/atom
* total DFT energy (no corrections): -18.491 eV per atom